Entry 1:
Material: BC
Method: DFT, PBE
State: relaxed

Calculated values
Symmetry   Pm, No. 6
Formation energy   328 meV/atom

Lattice parameters (Å, degrees): 4.1428 2.6328 8.6301 90.00 96.89 90.00
Atoms (fractional coordinates):
B 0.0000 0.0000 0.0000
B 0.0139 0.5000 0.3043
B 0.2938 0.0000 0.8807
B 0.4910 0.0000 0.2265
B 0.5837 0.5000 0.8776
B 0.9319 0.0000 0.7616
C 0.2039 0.0000 0.3462
C 0.4343 0.0000 0.4936
C 0.5421 0.5000 0.5616
C 0.6724 0.5000 0.1954
C 0.7673 0.5000 0.7059
C 0.8431 0.5000 0.0461



Entry 2:
Material: B7C5
Method: DFT, PBE
State: relaxed

Calculated values
Symmetry   Cm, No. 8
Formation energy   364 meV/atom

Lattice parameters (Å, degrees): 6.5863 6.5863 4.7195 105.91 105.91 24.01
Atoms (fractional coordinates):
B 0.0000 0.0000 0.0000
B 0.2143 0.2143 0.3774
B 0.3568 0.3568 0.7425
B 0.5263 0.5263 0.4984
B 0.6324 0.6324 0.8710
B 0.6705 0.6705 0.5200
B 0.8038 0.8038 0.4971
C 0.1930 0.1930 0.0065
C 0.3152 0.3152 0.0373
C 0.4967 0.4967 0.8292
C 0.8598 0.8598 0.2185
C 0.9833 0.9833 0.3197



Entry 3:
Material: BC
Method: DFT, PBE
State: relaxed

Calculated values
Symmetry   C2/m, No. 12
Formation energy   413 meV/atom

Lattice parameters (Å, degrees): 3.0712 3.0712 4.9101 106.96 106.96 45.65
Atoms (fractional coordinates):
B 0.1749 0.1749 0.0892
B 0.8251 0.8251 0.9108
C 0.2384 0.2384 0.4201
C 0.7616 0.7616 0.5799



Entry 4:
Material: BC
Method: DFT, PBE
State: relaxed

Calculated values
Symmetry   P2_1/m, No. 11
Formation energy   316 meV/atom

Lattice parameters (Å, degrees): 4.8121 2.6042 6.3684 90.00 106.72 90.00
Atoms (fractional coordinates):
B 0.0674 0.2500 0.4274
B 0.0735 0.2500 0.1414
B 0.2673 0.7500 0.8211
B 0.7327 0.2500 0.1789
B 0.9265 0.7500 0.8586
B 0.9326 0.7500 0.5726
C 0.2398 0.7500 0.0845
C 0.4278 0.2500 0.5304
C 0.4460 0.2500 0.7759
C 0.5540 0.7500 0.2241
C 0.5722 0.7500 0.4696
C 0.7602 0.2500 0.9155



Entry 5:
Material: B3C2
Method: DFT, PBE
State: relaxed

Calculated values
Symmetry   Pmm2, No. 25
Formation energy   502 meV/atom

Lattice parameters (Å, degrees): 3.3273 3.7016 3.6592 90.00 90.00 90.00
Atoms (fractional coordinates):
B 0.0000 0.0000 0.0000
B 0.2504 0.0000 0.5261
B 0.7496 0.0000 0.5261
C 0.0000 0.3107 0.2758
C 0.0000 0.6893 0.2758



Entry 6:
Material: BC
Method: DFT, PBE
State: relaxed

Calculated values
Symmetry   P3m1, No. 156
Formation energy   278 meV/atom

Lattice parameters (Å, degrees): 2.6553 2.6553 14.8433 90.00 90.00 120.00
Atoms (fractional coordinates):
B 0.0000 0.0000 0.0000
B 0.0000 0.0000 0.2557
B 0.0000 0.0000 0.6882
B 0.3333 0.6667 0.3695
B 0.6667 0.3333 0.4396
B 0.6667 0.3333 0.8784
C 0.0000 0.0000 0.5804
C 0.3333 0.6667 0.2642
C 0.3333 0.6667 0.7362
C 0.3333 0.6667 0.8312
C 0.6667 0.3333 0.5449
C 0.6667 0.3333 0.9895



Entry 7:
Material: B7C5
Method: DFT, PBE
State: relaxed

Calculated values
Symmetry   Cm, No. 8
Formation energy   477 meV/atom

Lattice parameters (Å, degrees): 7.4558 7.4558 4.6228 107.89 107.89 20.19
Atoms (fractional coordinates):
B 0.0000 0.0000 0.0000
B 0.1588 0.1588 0.4986
B 0.3223 0.3223 0.9723
B 0.4397 0.4397 0.1501
B 0.5005 0.5005 0.5756
B 0.7587 0.7587 0.0791
B 0.8341 0.8341 0.5816
C 0.1154 0.1154 0.1324
C 0.2776 0.2776 0.6015
C 0.6148 0.6148 0.6547
C 0.6477 0.6477 0.0057
C 0.9464 0.9464 0.6144



Entry 8:
Material: B3C2
Method: DFT, PBE
State: relaxed

Calculated values
Symmetry   Pm, No. 6
Formation energy   459 meV/atom

Lattice parameters (Å, degrees): 2.8885 4.0294 3.7175 90.00 103.40 90.00
Atoms (fractional coordinates):
B 0.0000 0.0000 0.0000
B 0.4785 0.2934 0.1222
B 0.4785 0.7066 0.1222
C 0.4166 0.0000 0.3861
C 0.4438 0.0000 0.7846



Entry 9:
Material: BC
Method: DFT, PBE
State: relaxed

Calculated values
Symmetry   P-1, No. 2
Formation energy   384 meV/atom

Lattice parameters (Å, degrees): 4.4906 4.6830 4.6968 61.95 85.36 71.09
Atoms (fractional coordinates):
B 0.0201 0.1815 0.4954
B 0.3762 0.8218 0.5219
B 0.4053 0.0233 0.7900
B 0.5947 0.9767 0.2100
B 0.6238 0.1782 0.4781
B 0.9799 0.8185 0.5046
C 0.0525 0.1459 0.8667
C 0.0759 0.4974 0.1491
C 0.4340 0.4022 0.1382
C 0.5660 0.5978 0.8618
C 0.9241 0.5026 0.8509
C 0.9475 0.8541 0.1333



Entry 10:
Material: BC
Method: DFT, PBE
State: relaxed

Calculated values
Symmetry   C2/m, No. 12
Formation energy   306 meV/atom

Lattice parameters (Å, degrees): 6.5289 6.5289 4.8363 100.61 100.61 23.65
Atoms (fractional coordinates):
B 0.1127 0.1127 0.4269
B 0.1138 0.1138 0.9340
B 0.2342 0.2342 0.2469
B 0.7658 0.7658 0.7531
B 0.8862 0.8862 0.0660
B 0.8873 0.8873 0.5731
C 0.2015 0.2015 0.7231
C 0.4642 0.4642 0.1033
C 0.4677 0.4677 0.6127
C 0.5323 0.5323 0.3873
C 0.5358 0.5358 0.8967
C 0.7985 0.7985 0.2769



Entry 11:
Material: B3C2
Method: DFT, PBE
State: relaxed

Calculated values
Symmetry   Cm, No. 8
Formation energy   443 meV/atom

Lattice parameters (Å, degrees): 4.5556 4.5556 6.9450 124.25 124.25 34.73
Atoms (fractional coordinates):
B 0.0000 0.0000 0.0000
B 0.0426 0.0426 0.3407
B 0.3300 0.3300 0.6201
B 0.5881 0.5881 0.6871
B 0.6736 0.6736 0.4811
B 0.8799 0.8799 0.4936
C 0.1923 0.1923 0.8494
C 0.2177 0.2177 0.0915
C 0.3891 0.3891 0.8924
C 0.8229 0.8229 0.2290



Entry 12:
Material: BC
Method: DFT, PBE
State: relaxed

Calculated values
Symmetry   P-1, No. 2
Formation energy   316 meV/atom

Lattice parameters (Å, degrees): 3.6241 4.4757 5.5922 102.94 91.75 111.13
Atoms (fractional coordinates):
B 0.0018 0.1822 0.0901
B 0.2978 0.8588 0.2084
B 0.3006 0.4797 0.6830
B 0.6994 0.5203 0.3170
B 0.7022 0.1412 0.7916
B 0.9982 0.8178 0.9099
C 0.0594 0.8542 0.4667
C 0.2728 0.8149 0.6793
C 0.3849 0.5201 0.1156
C 0.6151 0.4799 0.8844
C 0.7272 0.1851 0.3207
C 0.9406 0.1458 0.5333